{"formula": "VCo", "functional": "PBE-GGA", "state": "relaxed", "cell": [[8.981, 0.000, 0.000], [0.000, 8.981, 0.000], [0.000, 0.000, 2.518]], "species": ["Co", "Co", "Co", "V", "Co", "V", "V", "V", "Co", "Co", "V", "Co", "V", "Co", "V", "V"], "frac_coords": [[0.412, 0.336, 0.000], [0.836, 0.088, 0.500], [0.336, 0.588, 0.000], [0.654, 0.884, 0.500], [0.664, 0.412, 0.000], [0.616, 0.154, 0.000], [0.884, 0.346, 0.500], [0.346, 0.116, 0.500], [0.912, 0.836, 0.500], [0.088, 0.164, 0.500], [0.384, 0.846, 0.000], [0.164, 0.912, 0.500], [0.846, 0.616, 0.000], [0.588, 0.664, 0.000], [0.116, 0.654, 0.500], [0.154, 0.384, 0.000]], "total_magnetization_mub_per_fu": 0.26, "e_tot_ev_per_atom": -7.794, "delta_e_f_ev_per_atom": 0.318}

=====

{"formula": "SrCrSi4", "functional": "PBE-GGA", "state": "relaxed", "cell": [[-0.628, -5.167, 1.191], [-2.777, -1.423, 4.332], [-4.789, -2.300, -0.535]], "species": ["Cr", "Si", "Si", "Sr", "Si", "Si"], "frac_coords": [[0.000, 0.000, 0.000], [0.880, 0.373, 0.373], [0.373, 0.880, 0.373], [0.750, 0.750, 0.750], [0.373, 0.373, 0.880], [0.373, 0.373, 0.373]], "total_magnetization_mub_per_fu": 4.43, "e_tot_ev_per_atom": -5.222}

=====

{"formula": "Be4TcB2", "functional": "PBE-GGA", "state": "relaxed", "cell": [[-1.398, 2.075, -1.871], [-0.998, -2.318, -1.825], [-4.242, -1.439, 4.147]], "species": ["B", "Be", "Be", "Tc", "Be", "B", "Be"], "frac_coords": [[0.428, 0.500, 0.855], [0.173, 0.500, 0.348], [0.674, 0.000, 0.351], [0.000, 0.000, 0.000], [0.326, 0.000, 0.649], [0.572, 0.500, 0.145], [0.827, 0.500, 0.652]], "total_magnetization_mub_per_fu": 0.00, "e_tot_ev_per_atom": -5.573, "delta_e_f_ev_per_atom": -0.055}

=====

{"formula": "Cs2TlAgBr5", "functional": "PBE-GGA", "state": "relaxed", "cell": [[-4.348, 2.996, 0.652], [-2.598, -4.200, 1.979], [3.790, 3.022, 11.390]], "species": ["Ag", "Br", "Br", "Br", "Br", "Cs", "Br", "Tl", "Cs"], "frac_coords": [[0.000, 0.000, 0.500], [0.500, 0.000, 0.500], [0.000, 0.000, 0.255], [0.000, 0.500, 0.500], [0.000, 0.000, 0.745], [0.500, 0.500, 0.715], [0.500, 0.500, 0.000], [0.000, 0.000, 0.000], [0.500, 0.500, 0.285]], "total_magnetization_mub_per_fu": 0.00, "e_tot_ev_per_atom": -2.768}

=====

{"formula": "Sc6Bi3Te", "functional": "PBE-GGA", "state": "relaxed", "cell": [[-5.582, -1.345, 4.383], [3.671, -7.729, 2.305], [3.187, 5.842, 5.851]], "species": ["Sc", "Sc", "Bi", "Sc", "Sc", "Sc", "Sc", "Te", "Sc", "Bi", "Sc", "Bi", "Bi", "Bi", "Sc", "Sc", "Sc", "Sc", "Te", "Bi"], "frac_coords": [[0.159, 0.399, 0.278], [0.659, 0.278, 0.399], [0.831, 0.588, 0.412], [0.745, 0.994, 0.006], [0.246, 0.074, 0.543], [0.159, 0.722, 0.601], [0.659, 0.601, 0.722], [0.490, 0.828, 0.172], [0.619, 0.247, 0.753], [0.994, 0.718, 0.906], [0.119, 0.753, 0.247], [0.494, 0.906, 0.718], [0.994, 0.094, 0.282], [0.331, 0.412, 0.588], [0.246, 0.457, 0.926], [0.746, 0.926, 0.457], [0.245, 0.006, 0.994], [0.746, 0.543, 0.074], [0.990, 0.172, 0.828], [0.494, 0.282, 0.094]], "total_magnetization_mub_per_fu": 0.94, "e_tot_ev_per_atom": -5.803}

=====

{"formula": "MgAgRu", "functional": "PBE-GGA", "state": "relaxed", "cell": [[-5.625, -0.162, -3.361], [-4.189, -2.291, -4.490], [-1.536, -1.819, 1.485]], "species": ["Ag", "Ru", "Mg"], "frac_coords": [[0.003, 0.003, 0.997], [0.671, 0.671, 0.329], [0.326, 0.326, 0.674]], "total_magnetization_mub_per_fu": 0.42, "e_tot_ev_per_atom": -4.367, "polymorph_energy_kj_per_mol_fu": 36.6, "delta_e_f_ev_per_atom": 0.207}

=====

{"formula": "Hf2Zr13", "functional": "PBE-GGA", "state": "relaxed", "cell": [[-0.690, 5.890, -0.917], [-7.368, -2.376, -0.885], [1.427, 2.419, 7.609]], "species": ["Zr", "Zr", "Zr", "Zr", "Hf", "Zr", "Zr", "Zr", "Hf", "Zr", "Zr", "Zr", "Zr", "Zr", "Zr"], "frac_coords": [[0.331, 0.999, 0.665], [0.669, 0.001, 0.335], [0.568, 0.413, 0.637], [0.867, 0.202, 0.733], [0.201, 0.202, 0.401], [0.000, 0.000, 0.000], [0.533, 0.202, 0.068], [0.467, 0.798, 0.932], [0.799, 0.798, 0.599], [0.432, 0.587, 0.363], [0.765, 0.590, 0.030], [0.902, 0.411, 0.304], [0.235, 0.410, 0.970], [0.133, 0.798, 0.267], [0.098, 0.589, 0.696]], "total_magnetization_mub_per_fu": 0.00, "e_tot_ev_per_atom": -8.715, "delta_e_f_ev_per_atom": 0.020}

=====

{"formula": "Cs2Sr2Li", "functional": "PBE-GGA", "state": "relaxed", "cell": [[-3.805, 1.847, -8.333], [-8.340, -2.747, 3.199], [-1.536, 7.389, 2.339]], "species": ["Sr", "Cs", "Li", "Sr", "Sr", "Sr", "Cs", "Cs", "Li", "Cs"], "frac_coords": [[0.160, 0.340, 0.000], [0.177, 0.677, 0.500], [0.500, 0.500, 0.000], [0.340, 0.840, 0.000], [0.840, 0.660, 0.000], [0.660, 0.160, 0.000], [0.823, 0.323, 0.500], [0.677, 0.823, 0.500], [0.000, 0.000, 0.000], [0.323, 0.177, 0.500]], "total_magnetization_mub_per_fu": 0.00, "e_tot_ev_per_atom": -1.167, "polymorph_energy_kj_per_mol_fu": 0.0, "delta_e_f_ev_per_atom": 0.229}

=====

{"formula": "LaTc2Se", "functional": "PBE-GGA", "state": "relaxed", "cell": [[4.289, 0.008, 0.005], [2.138, 3.718, 0.005], [2.137, 1.239, 5.339]], "species": ["Se", "La", "Tc", "Tc"], "frac_coords": [[0.285, 0.285, 0.144], [0.500, 0.500, 0.499], [0.700, 0.700, 0.900], [0.014, 0.014, 0.957]], "total_magnetization_mub_per_fu": 0.00, "e_tot_ev_per_atom": -7.650}

=====

{"formula": "SiIr2Pb", "functional": "PBE-GGA", "state": "relaxed", "cell": [[4.680, -0.003, -0.026], [-0.813, 4.609, -0.026], [0.019, 0.022, 3.089]], "species": ["Ir", "Pb", "Ir", "Si"], "frac_coords": [[0.500, 0.500, 0.000], [0.500, 0.000, 0.500], [0.000, 0.000, 0.000], [0.000, 0.500, 0.500]], "total_magnetization_mub_per_fu": 0.00, "e_tot_ev_per_atom": -6.310, "polymorph_energy_kj_per_mol_fu": 201.9}